(1)
# CdCo2Re, relaxed, DFT GGA-PBE
# Energy (eV for the cell shown): -26.052
# SG: Pm, No. 6
# Energy relative to the elements (eV/atom): 0.38
# Size of the total moment (Bohr magnetons per cell): 1.8
data_CdCo2Re
_chemical_formula_sum 'Cd1 Co2 Re1'
_cell_length_a 2.680
_cell_length_b 4.118
_cell_length_c 5.197
_cell_angle_alpha 90.00
_cell_angle_beta 104.81
_cell_angle_gamma 90.00
_symmetry_space_group_name_H-M 'P 1'
_symmetry_Int_Tables_number 1
_symmetry_space_group_name_Hall 'P 1'
loop_
_atom_site_label
_atom_site_fract_x
_atom_site_fract_y
_atom_site_fract_z
Cd1 0.000 0.000 0.000
Co1 0.611 0.500 0.221
Co2 0.741 0.000 0.482
Re1 0.327 0.500 0.657


(2)
# CdCo2Re, relaxed, DFT GGA-PBE
# Energy (eV for the cell shown): -25.882
# SG: P4/mmm, No. 123
# Energy relative to the elements (eV/atom): 0.42
# Size of the total moment (Bohr magnetons per cell): 2.3
data_CdCo2Re
_chemical_formula_sum 'Cd1 Co2 Re1'
_cell_length_a 4.472
_cell_length_b 4.472
_cell_length_c 2.764
_cell_angle_alpha 90.00
_cell_angle_beta 90.00
_cell_angle_gamma 90.00
_symmetry_space_group_name_H-M 'P 1'
_symmetry_Int_Tables_number 1
_symmetry_space_group_name_Hall 'P 1'
loop_
_atom_site_label
_atom_site_fract_x
_atom_site_fract_y
_atom_site_fract_z
Cd1 0.000 0.000 0.000
Co1 0.000 0.500 0.500
Co2 0.500 0.000 0.500
Re1 0.500 0.500 0.000


(3)
# CdCoRe2, relaxed, DFT GGA-PBE
# Energy (eV for the cell shown): -31.719
# SG: P4mm, No. 99
# Energy relative to the elements (eV/atom): 0.30
# Size of the total moment (Bohr magnetons per cell): 0.0
data_CdCoRe2
_chemical_formula_sum 'Cd1 Co1 Re2'
_cell_length_a 2.801
_cell_length_b 2.801
_cell_length_c 7.671
_cell_angle_alpha 90.00
_cell_angle_beta 90.00
_cell_angle_gamma 90.00
_symmetry_space_group_name_H-M 'P 1'
_symmetry_Int_Tables_number 1
_symmetry_space_group_name_Hall 'P 1'
loop_
_atom_site_label
_atom_site_fract_x
_atom_site_fract_y
_atom_site_fract_z
Cd1 0.000 0.000 0.000
Co1 0.500 0.500 0.254
Re1 0.000 0.000 0.466
Re2 0.500 0.500 0.705